# CsGeSb2Cl | Alexandria via LeMat-Bulk | PBE-GGA | optimized geometry
# - Space group: P4/mmm (123)
# - Total energy: -13.39 eV per cell
# - Fermi-level density of states: 5.7 states/eV per cell
# - Formation energy without anion corrections: 435 meV/atom
data_CsGeSb2Cl
_cell_length_a 5.693
_cell_length_b 5.362
_cell_length_c 5.693
_cell_angle_alpha 90.00
_cell_angle_beta 90.00
_cell_angle_gamma 90.00
_symmetry_space_group_name_H-M 'P 1'
_symmetry_Int_Tables_number 1
loop_
_symmetry_equiv_pos_as_xyz
'x,y,z'
loop_
_atom_site_label
_atom_site_type_symbol
_atom_site_fract_x
_atom_site_fract_y
_atom_site_fract_z
_atom_site_occupancy
Ge1 Ge 0.000 0.500 0.000 1
Sb1 Sb 0.000 0.000 0.500 1
Cl1 Cl 0.000 0.000 0.000 1
Sb2 Sb 0.500 0.000 0.000 1
Cs1 Cs 0.500 0.500 0.500 1



# Cs2ScGeCl6 | Alexandria via LeMat-Bulk | PBE-GGA | optimized geometry
# - Space group: I4/mmm (139)
# - Total energy: -40.00 eV per cell
# - Fermi-level density of states: 5.4 states/eV per cell
# - Formation energy without anion corrections: -1627 meV/atom
data_Cs2ScGeCl6
_cell_length_a 7.818
_cell_length_b 7.818
_cell_length_c 7.579
_cell_angle_alpha 58.95
_cell_angle_beta 58.95
_cell_angle_gamma 90.00
_symmetry_space_group_name_H-M 'P 1'
_symmetry_Int_Tables_number 1
loop_
_symmetry_equiv_pos_as_xyz
'x,y,z'
loop_
_atom_site_label
_atom_site_type_symbol
_atom_site_fract_x
_atom_site_fract_y
_atom_site_fract_z
_atom_site_occupancy
Ge1 Ge 0.000 0.000 0.000 1
Cs1 Cs 0.250 0.750 0.500 1
Cl1 Cl 0.255 0.255 0.490 1
Cl2 Cl 0.728 0.272 0.000 1
Cl3 Cl 0.745 0.745 0.510 1
Cl4 Cl 0.272 0.272 0.000 1
Sc1 Sc 0.500 0.500 0.000 1
Cs2 Cs 0.750 0.250 0.500 1
Cl5 Cl 0.728 0.728 0.000 1
Cl6 Cl 0.272 0.728 0.000 1



# CsScGeCl6 | Alexandria via LeMat-Bulk | PBE-GGA | optimized geometry
# - Space group: P312 (149)
# - Total energy: -38.11 eV per cell
# - Fermi-level density of states: 0.0 states/eV per cell
# - Formation energy without anion corrections: -1691 meV/atom
data_CsScGeCl6
_cell_length_a 6.844
_cell_length_b 6.844
_cell_length_c 7.721
_cell_angle_alpha 89.99
_cell_angle_beta 90.00
_cell_angle_gamma 60.00
_symmetry_space_group_name_H-M 'P 1'
_symmetry_Int_Tables_number 1
loop_
_symmetry_equiv_pos_as_xyz
'x,y,z'
loop_
_atom_site_label
_atom_site_type_symbol
_atom_site_fract_x
_atom_site_fract_y
_atom_site_fract_z
_atom_site_occupancy
Ge1 Ge 0.667 0.667 0.500 1
Cl1 Cl 0.613 0.019 0.310 1
Cl2 Cl 0.368 0.613 0.310 1
Cl3 Cl 0.019 0.613 0.690 1
Sc1 Sc 0.333 0.333 0.500 1
Cl4 Cl 0.368 0.019 0.690 1
Cl5 Cl 0.613 0.368 0.690 1
Cs1 Cs 0.000 0.000 0.000 1
Cl6 Cl 0.019 0.368 0.310 1



# Cs2GeSeCl6 | Alexandria via LeMat-Bulk | PBE-GGA | optimized geometry
# - Space group: I4/mmm (139)
# - Total energy: -31.59 eV per cell
# - Fermi-level density of states: 2.9 states/eV per cell
# - Formation energy without anion corrections: -1070 meV/atom
data_Cs2GeSeCl6
_cell_length_a 7.808
_cell_length_b 7.808
_cell_length_c 7.527
_cell_angle_alpha 58.76
_cell_angle_beta 58.76
_cell_angle_gamma 90.00
_symmetry_space_group_name_H-M 'P 1'
_symmetry_Int_Tables_number 1
loop_
_symmetry_equiv_pos_as_xyz
'x,y,z'
loop_
_atom_site_label
_atom_site_type_symbol
_atom_site_fract_x
_atom_site_fract_y
_atom_site_fract_z
_atom_site_occupancy
Cs1 Cs 0.750 0.250 0.500 1
Cl1 Cl 0.722 0.278 0.000 1
Se1 Se 0.000 0.000 0.000 1
Cl2 Cl 0.722 0.722 0.000 1
Ge1 Ge 0.500 0.500 0.000 1
Cl3 Cl 0.278 0.278 0.000 1
Cs2 Cs 0.250 0.750 0.500 1
Cl4 Cl 0.278 0.722 0.000 1
Cl5 Cl 0.239 0.239 0.521 1
Cl6 Cl 0.761 0.761 0.479 1



# Cs2SiGeCl6 | Alexandria via LeMat-Bulk | PBE-GGA | optimized geometry
# - Space group: Fm-3m (225)
# - Total energy: -35.32 eV per cell
# - Fermi-level density of states: 0.0 states/eV per cell
# - Formation energy without anion corrections: -1249 meV/atom
data_Cs2SiGeCl6
_cell_length_a 7.468
_cell_length_b 7.468
_cell_length_c 7.468
_cell_angle_alpha 60.00
_cell_angle_beta 60.00
_cell_angle_gamma 90.00
_symmetry_space_group_name_H-M 'P 1'
_symmetry_Int_Tables_number 1
loop_
_symmetry_equiv_pos_as_xyz
'x,y,z'
loop_
_atom_site_label
_atom_site_type_symbol
_atom_site_fract_x
_atom_site_fract_y
_atom_site_fract_z
_atom_site_occupancy
Cl1 Cl 0.746 0.254 0.000 1
Cl2 Cl 0.254 0.254 0.492 1
Cs1 Cs 0.750 0.250 0.500 1
Ge1 Ge 0.000 0.000 0.000 1
Cl3 Cl 0.746 0.746 0.508 1
Cs2 Cs 0.250 0.750 0.500 1
Si1 Si 0.500 0.500 0.000 1
Cl4 Cl 0.746 0.746 0.000 1
Cl5 Cl 0.254 0.746 0.000 1
Cl6 Cl 0.254 0.254 0.000 1



# CsSmGe2Cl8 | Alexandria via LeMat-Bulk | PBE-GGA | optimized geometry
# - Space group: P-1 (2)
# - Total energy: -47.39 eV per cell
# - Fermi-level density of states: 0.0 states/eV per cell
# - Formation energy without anion corrections: -1484 meV/atom
data_CsSmGe2Cl8
_cell_length_a 7.054
_cell_length_b 6.376
_cell_length_c 9.932
_cell_angle_alpha 91.96
_cell_angle_beta 86.23
_cell_angle_gamma 83.78
_symmetry_space_group_name_H-M 'P 1'
_symmetry_Int_Tables_number 1
loop_
_symmetry_equiv_pos_as_xyz
'x,y,z'
loop_
_atom_site_label
_atom_site_type_symbol
_atom_site_fract_x
_atom_site_fract_y
_atom_site_fract_z
_atom_site_occupancy
Cl1 Cl 0.689 0.773 0.038 1
Cl2 Cl 0.811 0.217 0.815 1
Sm1 Sm 0.000 0.000 0.000 1
Cl3 Cl 0.609 0.734 0.397 1
Cl4 Cl 0.391 0.266 0.603 1
Ge1 Ge 0.552 0.549 0.205 1
Cl5 Cl 0.133 0.719 0.792 1
Cs1 Cs 0.000 0.000 0.500 1
Cl6 Cl 0.189 0.783 0.185 1
Ge2 Ge 0.448 0.451 0.795 1
Cl7 Cl 0.867 0.281 0.208 1
Cl8 Cl 0.311 0.227 0.962 1



# CsSmGeCl6 | Alexandria via LeMat-Bulk | PBE-GGA | optimized geometry
# - Space group: P312 (149)
# - Total energy: -37.11 eV per cell
# - Fermi-level density of states: 0.0 states/eV per cell
# - Formation energy without anion corrections: -1760 meV/atom
data_CsSmGeCl6
_cell_length_a 7.126
_cell_length_b 7.126
_cell_length_c 7.682
_cell_angle_alpha 90.00
_cell_angle_beta 90.00
_cell_angle_gamma 60.00
_symmetry_space_group_name_H-M 'P 1'
_symmetry_Int_Tables_number 1
loop_
_symmetry_equiv_pos_as_xyz
'x,y,z'
loop_
_atom_site_label
_atom_site_type_symbol
_atom_site_fract_x
_atom_site_fract_y
_atom_site_fract_z
_atom_site_occupancy
Cs1 Cs 0.000 0.000 0.000 1
Cl1 Cl 0.382 0.998 0.701 1
Cl2 Cl 0.998 0.382 0.299 1
Cl3 Cl 0.382 0.620 0.299 1
Cl4 Cl 0.997 0.620 0.701 1
Cl5 Cl 0.620 0.998 0.299 1
Sm1 Sm 0.333 0.333 0.500 1
Cl6 Cl 0.620 0.382 0.701 1
Ge1 Ge 0.667 0.667 0.500 1



# Cs4SnGe3Cl12 | Alexandria via LeMat-Bulk | PBE-GGA | optimized geometry
# - Space group: Im-3m (229)
# - Total energy: -70.55 eV per cell
# - Formation energy without anion corrections: -1356 meV/atom
data_Cs4SnGe3Cl12
_cell_length_a 9.374
_cell_length_b 9.374
_cell_length_c 9.374
_cell_angle_alpha 109.47
_cell_angle_beta 109.47
_cell_angle_gamma 109.47
_symmetry_space_group_name_H-M 'P 1'
_symmetry_Int_Tables_number 1
loop_
_symmetry_equiv_pos_as_xyz
'x,y,z'
loop_
_atom_site_label
_atom_site_type_symbol
_atom_site_fract_x
_atom_site_fract_y
_atom_site_fract_z
_atom_site_occupancy
Cs1 Cs 0.500 0.000 0.000 1
Ge1 Ge 0.000 0.500 0.500 1
Cl1 Cl 0.743 0.000 0.743 1
Cl2 Cl 0.250 0.500 0.750 1
Cl3 Cl 0.743 0.743 0.000 1
Cl4 Cl 0.000 0.743 0.743 1
Cs2 Cs 0.500 0.500 0.500 1
Cl5 Cl 0.250 0.750 0.500 1
Sn1 Sn 0.000 0.000 0.000 1
Cl6 Cl 0.257 0.257 0.000 1
Cs3 Cs 0.000 0.500 0.000 1
Cl7 Cl 0.500 0.750 0.250 1
Cl8 Cl 0.750 0.250 0.500 1
Cl9 Cl 0.257 0.000 0.257 1
Ge2 Ge 0.500 0.500 0.000 1
Cl10 Cl 0.750 0.500 0.250 1
Cs4 Cs 0.000 0.000 0.500 1
Cl11 Cl 0.500 0.250 0.750 1
Cl12 Cl 0.000 0.257 0.257 1
Ge3 Ge 0.500 0.000 0.500 1